Record 1
This record from OQMD describes Zr2NiGe2Pd after structural relaxation. The functional is PBE-GGA.

Unit cell a=7.407 b=4.260 c=14.153 alpha=90.00 beta=99.75 gamma=90.00
Space group Pm (No. 6)
Inequivalent atoms, fractional coordinates:
Zr 0.000 0.000 0.000 (multiplicity 1)
Zr 0.008 0.500 0.494 (multiplicity 1)
Zr 0.237 0.000 0.738 (multiplicity 1)
Zr 0.247 0.500 0.243 (multiplicity 1)
Zr 0.483 0.000 0.485 (multiplicity 1)
Zr 0.500 0.500 0.999 (multiplicity 1)
Zr 0.744 0.000 0.238 (multiplicity 1)
Zr 0.757 0.500 0.741 (multiplicity 1)
Ni 0.060 0.500 0.678 (multiplicity 1)
Ni 0.061 0.000 0.183 (multiplicity 1)
Ni 0.307 0.500 0.427 (multiplicity 1)
Ni 0.559 0.500 0.181 (multiplicity 1)
Ge 0.122 0.500 0.863 (multiplicity 1)
Ge 0.124 0.000 0.364 (multiplicity 1)
Ge 0.366 0.500 0.613 (multiplicity 1)
Ge 0.373 0.000 0.123 (multiplicity 1)
Ge 0.614 0.500 0.364 (multiplicity 1)
Ge 0.621 0.000 0.866 (multiplicity 1)
Ge 0.875 0.500 0.124 (multiplicity 1)
Ge 0.878 0.000 0.617 (multiplicity 1)
Pd 0.309 0.000 0.931 (multiplicity 1)
Pd 0.558 0.000 0.676 (multiplicity 1)
Pd 0.809 0.000 0.428 (multiplicity 1)
Pd 0.812 0.500 0.932 (multiplicity 1)

Computed properties:
VASP energy: -6.942 eV/atom

Record 2
This record from OQMD describes Pm2Ni3Ge5 after structural relaxation. The functional is PBE-GGA.

Unit cell a=9.827 b=11.780 c=5.963 alpha=90.00 beta=90.00 gamma=90.00
Space group Ibam (No. 72)
Inequivalent atoms, fractional coordinates:
Pm 0.236 0.134 0.000 (multiplicity 8)
Ni 0.000 0.500 0.250 (multiplicity 4)
Ni 0.109 0.135 0.500 (multiplicity 8)
Ge 0.000 0.000 0.250 (multiplicity 4)
Ge 0.000 0.266 0.250 (multiplicity 8)
Ge 0.156 0.399 0.000 (multiplicity 8)

Computed properties:
VASP energy: -5.598 eV/atom

Record 3
This record from OQMD describes PmNiGe after structural relaxation. The functional is PBE-GGA.

Unit cell a=4.2005 b=4.2005 c=3.9317 alpha=90.00 beta=90.00 gamma=120.00
Space group P-6m2 (No. 187)
Inequivalent atoms, fractional coordinates:
Pm 0.0000 0.0000 0.0000 (multiplicity 1)
Ni 0.3333 0.6667 0.5000 (multiplicity 1)
Ge 0.6667 0.3333 0.5000 (multiplicity 1)

Computed properties:
VASP energy: -5.695 eV/atom

> The highest VASP energy belongs to which entry?

Pm2Ni3Ge5

> What is the VASP energy in the first record?

-6.942 eV/atom

> What is the VASP energy in the second record?

-5.598 eV/atom

> Among the records above, which one has the highest VASP energy?

Pm2Ni3Ge5